# 1
VASP calculation (PBE) on an optimized crystal structure of LiHf2NpAs4.

a = 6.6506 Å, b = 3.8668 Å, c = 6.9511 Å
α = 90.00°, β = 108.12°, γ = 90.00°
Last column: nearest neighbours and their distance in Å.
Atoms (fractional coordinates):
Li 0.0000 0.0000 0.0000  6 As 2.76-2.82
Hf 0.0000 0.5000 0.5000  6 As 2.70-2.71
Hf 0.5000 0.0000 0.5000  6 As 2.75
Np 0.5000 0.5000 0.0000  6 As 2.81-2.85
As 0.2387 0.0000 0.7384  3 Hf 2.71-2.75, 1 Li 2.76, 2 Np 2.85
As 0.2511 0.5000 0.2605  3 Hf 2.70-2.75, 1 Np 2.81, 2 Li 2.82
As 0.7489 0.5000 0.7395  3 Hf 2.70-2.75, 1 Np 2.81, 2 Li 2.82
As 0.7613 0.0000 0.2616  3 Hf 2.71-2.75, 1 Li 2.76, 2 Np 2.85

ΔH_f (0 K) = -6.69 eV/f.u.
volume = 21.2 Å³ per atom
symmetry = No. 10



# 2
VASP calculation (PBE) on an optimized crystal structure of La3DyCo.

a = 5.4715 Å, b = 5.4715 Å, c = 5.4715 Å
α = 90.00°, β = 90.00°, γ = 90.00°
Last column: nearest neighbours and their distance in Å.
Atoms (fractional coordinates):
La 0.0000 0.0000 0.5000  2 Co 2.74
La 0.0000 0.5000 0.0000  2 Co 2.74
La 0.5000 0.0000 0.0000  2 Co 2.74
Dy 0.5000 0.5000 0.5000  12 La 3.87
Co 0.0000 0.0000 0.0000  6 La 2.74

excess energy over the best structure of this formula in the dataset = 28 meV/atom
ΔH_f (0 K) = 0.20 eV/f.u.
volume = 32.8 Å³ per atom
symmetry = No. 221



# 3
VASP calculation (PBE) on an optimized crystal structure of HoCu2Br6.

a = 9.9581 Å, b = 9.9581 Å, c = 7.0422 Å
α = 107.46°, β = 107.46°, γ = 80.52°
Last column: nearest neighbours and their distance in Å.
Atoms (fractional coordinates):
Ho 0.0867 0.9133 0.7500  6 Br 2.79-2.84
Ho 0.9133 0.0867 0.2500  6 Br 2.79-2.84
Cu 0.3426 0.5239 0.8409  4 Br 2.39-2.52
Cu 0.4761 0.6574 0.6591  4 Br 2.39-2.52
Cu 0.5239 0.3426 0.3409  4 Br 2.39-2.52
Cu 0.6574 0.4761 0.1591  4 Br 2.39-2.52
Br 0.0512 0.1811 0.6691  2 Ho 2.79-2.84
Br 0.1173 0.6518 0.8364  1 Cu 2.39
Br 0.1811 0.0512 0.1691  2 Ho 2.79-2.84
Br 0.3218 0.4570 0.4626  3 Cu 2.40-2.52
Br 0.3482 0.8827 0.6636  1 Cu 2.39
Br 0.4570 0.3218 0.9626  3 Cu 2.40-2.52
Br 0.5430 0.6782 0.0374  3 Cu 2.40-2.52
Br 0.6518 0.1173 0.3364  1 Cu 2.39
Br 0.6782 0.5430 0.5374  3 Cu 2.40-2.52
Br 0.8189 0.9488 0.8309  2 Ho 2.79-2.84
Br 0.8827 0.3482 0.1636  1 Cu 2.39
Br 0.9488 0.8189 0.3309  2 Ho 2.79-2.84

excess energy over the best structure of this formula in the dataset = 0 meV/atom
volume = 35.2 Å³ per atom
energy relative to the elements, uncorrected = -0.98 eV/atom
symmetry = No. 15



# 4
VASP calculation (PBE) on an optimized crystal structure of La2Nd3Sn2.

a = 17.2865 Å, b = 3.6056 Å, c = 8.3281 Å
α = 90.00°, β = 116.47°, γ = 90.00°
Last column: nearest neighbours and their distance in Å.
Atoms (fractional coordinates):
La 0.1111 0.0000 0.4725  4 Sn 3.35-3.55, 1 Nd 3.53, 2 La 3.61
La 0.3889 0.5000 0.5275  4 Sn 3.35-3.55, 1 Nd 3.53, 2 La 3.61
La 0.6111 0.5000 0.4725  4 Sn 3.35-3.55, 1 Nd 3.53, 2 La 3.61
La 0.8889 0.0000 0.5275  4 Sn 3.35-3.55, 1 Nd 3.53, 2 La 3.61
Nd 0.0000 0.0000 0.0000  4 Nd 3.30-3.61, 4 Sn 3.31, 2 La 3.53
Nd 0.2116 0.0000 0.1441  5 Nd 3.30-3.69, 3 Sn 3.33-3.38
Nd 0.2884 0.5000 0.8559  5 Nd 3.30-3.69, 3 Sn 3.33-3.38
Nd 0.5000 0.5000 0.0000  4 Nd 3.30-3.61, 4 Sn 3.31, 2 La 3.53
Nd 0.7116 0.5000 0.1441  5 Nd 3.30-3.69, 3 Sn 3.33-3.38
Nd 0.7884 0.0000 0.8559  5 Nd 3.30-3.69, 3 Sn 3.33-3.38
Sn 0.0821 0.5000 0.7803  5 Nd 3.31-3.38, 4 La 3.35-3.55, 2 Sn 3.61
Sn 0.4179 0.0000 0.2197  5 Nd 3.31-3.38, 4 La 3.35-3.55, 2 Sn 3.61
Sn 0.5821 0.0000 0.7803  5 Nd 3.31-3.38, 4 La 3.35-3.55, 2 Sn 3.61
Sn 0.9179 0.5000 0.2197  5 Nd 3.31-3.38, 4 La 3.35-3.55, 2 Sn 3.61

ΔH_f (0 K) = -2.23 eV/f.u.
volume = 33.2 Å³ per atom
symmetry = No. 12